(1)
Here is a geometry-optimized Pr2Nd6SmEr structure from the Alexandria database. Energies are from PBE.

As for the formation energy: 2.6 kcal/mol of atoms. The density is 6.928 g/cm³.

The space group is C2/c (No. 15) and the conventional cell measures 9.2757, 15.4315 and 9.9233 Å, with angles of 90.00, 98.59 and 90.00 degrees. Symmetry generates all atoms from Pr at (0.2460, 0.0499, 0.0425), Nd at (0.0650, 0.1860, 0.4450), Nd at (0.1009, 0.3951, 0.6191), Nd at (0.2064, 0.2208, 0.8103), Sm at (0.0000, 0.0185, 0.7500) and Er at (0.0000, 0.4083, 0.2500).

(2)
Here is a geometry-optimized Pr6Nd2SmEr3 structure from the Alexandria database. Energies are from PBE.

As for the formation energy: 0.3 kcal/mol of atoms. The density is 7.208 g/cm³.

The space group is C2/m (No. 12) and the conventional cell measures 6.3424, 10.9884 and 11.9950 Å, with angles of 90.00, 100.12 and 90.00 degrees. Symmetry generates all atoms from Pr at (0.2482, 0.0000, 0.2454), Pr at (0.2486, 0.3335, 0.2455), Nd at (0.0000, 0.3333, 0.5000), Sm at (0.0000, 0.0000, 0.5000), Er at (0.0000, 0.1666, 0.0000) and Er at (0.0000, 0.5000, 0.0000).

(3)
Here is a geometry-optimized PrNdSm3Er structure from the Alexandria database. Energies are from PBE.

As for the formation energy: 4.0 kcal/mol of atoms. The density is 7.312 g/cm³.

The space group is C2/m (No. 12) and the conventional cell measures 20.3608, 5.7898 and 6.9619 Å, with angles of 90.00, 90.42 and 90.00 degrees. Symmetry generates all atoms from Pr at (0.1462, 0.0000, 0.0225), Nd at (0.0560, 0.5000, 0.2625), Sm at (0.0190, 0.0000, 0.7433), Sm at (0.1639, 0.5000, 0.7349), Sm at (0.2193, 0.5000, 0.2488) and Er at (0.1480, 0.0000, 0.4674).

(4)
Here is a geometry-optimized PrNd2Sm6Er3 structure from the Alexandria database. Energies are from PBE.

As for the formation energy: 0.4 kcal/mol of atoms. The density is 7.602 g/cm³.

The space group is C2/m (No. 12) and the conventional cell measures 6.2667, 10.8544 and 11.9582 Å, with angles of 90.00, 100.05 and 90.00 degrees. Symmetry generates all atoms from Pr at (0.0000, 0.0000, 0.0000), Nd at (0.0000, 0.3333, 0.0000), Sm at (0.2483, 0.0000, 0.7447), Sm at (0.2480, 0.3332, 0.7447), Er at (0.0000, 0.1667, 0.5000) and Er at (0.0000, 0.5000, 0.5000).

(5)
Here is a geometry-optimized PrNd3Sm2Er6 structure from the Alexandria database. Energies are from PBE.

As for the formation energy: 0.3 kcal/mol of atoms. The density is 8.008 g/cm³.

The space group is C2/m (No. 12) and the conventional cell measures 6.2308, 10.7891 and 11.7689 Å, with angles of 90.00, 100.13 and 90.00 degrees. Symmetry generates all atoms from Pr at (0.0000, 0.0000, 0.0000), Nd at (0.0000, 0.1667, 0.5000), Nd at (0.0000, 0.5000, 0.5000), Sm at (0.0000, 0.3333, 0.0000), Er at (0.2495, 0.5000, 0.2495) and Er at (0.2500, 0.1668, 0.2496).

(6)
Here is a geometry-optimized Pr2Nd2Sm4Er structure from the Alexandria database. Energies are from PBE.

As for the formation energy: 0.3 kcal/mol of atoms. The density is 7.183 g/cm³.

The space group is C2/m (No. 12) and the conventional cell measures 19.0666, 3.6746 and 9.7992 Å, with angles of 90.00, 115.62 and 90.00 degrees. Symmetry generates all atoms from Pr at (0.1474, 0.0000, 0.1658), Nd at (0.1649, 0.5000, 0.5003), Sm at (0.0183, 0.5000, 0.8280), Sm at (0.1846, 0.0000, 0.8324) and Er at (0.0000, 0.0000, 0.5000).

(7)
Here is a geometry-optimized PrNdSmEr3 structure from the Alexandria database. Energies are from PBE.

As for the formation energy: 4.3 kcal/mol of atoms. The density is 7.840 g/cm³.

The space group is C2/m (No. 12) and the conventional cell measures 19.8789, 5.6182 and 7.1101 Å, with angles of 90.00, 90.09 and 90.00 degrees. Symmetry generates all atoms from Pr at (0.1474, 0.0000, 0.0366), Nd at (0.0542, 0.5000, 0.2556), Sm at (0.1490, 0.0000, 0.4597), Er at (0.0241, 0.0000, 0.7451), Er at (0.1655, 0.5000, 0.7436) and Er at (0.2217, 0.5000, 0.2484).

(8)
Here is a geometry-optimized PrNd2Sm3Er6 structure from the Alexandria database. Energies are from PBE.

As for the formation energy: 0.3 kcal/mol of atoms. The density is 8.061 g/cm³.

The space group is C2/m (No. 12) and the conventional cell measures 6.2236, 10.7766 and 11.7566 Å, with angles of 90.00, 100.13 and 90.00 degrees. Symmetry generates all atoms from Pr at (0.0000, 0.0000, 0.0000), Nd at (0.0000, 0.3333, 0.0000), Sm at (0.0000, 0.1667, 0.5000), Sm at (0.0000, 0.5000, 0.5000), Er at (0.2492, 0.0000, 0.7484) and Er at (0.2490, 0.3333, 0.7485).